Entry 1:
Computed, not measured: RbScSi after structural relaxation at the PBE-GGA level of DFT.

Results
Formation energy from raw total energies in eV per atom: -0.090
Relative energy among the computed polymorphs in meV/atom: 162

a = 4.3404 Å, b = 4.3404 Å, c = 13.0308 Å
α = 102.32°, β = 102.32°, γ = 68.31°
With the nearest neighbours (Å) after each atom.
Positions (direct):
Rb: 0.0000 0.0000 0.0000  3 Sc 3.91-4.36, 1 Si 4.12, 4 Rb 4.34
Rb: 0.5578 0.5578 0.3445  3 Si 3.45-3.68, 1 Sc 3.78
Sc: 0.3247 0.3247 0.7595  4 Si 2.61-2.82
Sc: 0.9543 0.9543 0.5994  6 Si 2.66-2.92, 1 Sc 2.93
Si: 0.3174 0.3174 0.5417  4 Sc 2.66-2.89, 1 Si 2.67
Si: 0.6426 0.6426 0.6972  6 Sc 2.61-2.92, 1 Si 2.67

=====

Entry 2:
Computed, not measured: CeEr3Tm3 after structural relaxation at the PBE-GGA level of DFT.

Results
Formation enthalpy at 0 K in eV per atom: 0.1766

a = 14.4538 Å, b = 14.4538 Å, c = 14.4538 Å
α = 24.26°, β = 24.26°, γ = 24.26°
With the nearest neighbours (Å) after each atom.
Positions (direct):
Ce: 0.1667 0.1667 0.1667  6 Tm 3.46-3.47, 3 Ce 3.51
Ce: 0.8333 0.8333 0.8333  6 Tm 3.46-3.47, 3 Ce 3.51
Er: 0.0346 0.6994 0.3668  3 Tm 3.44-3.45, 9 Er 3.47-3.51
Er: 0.3006 0.6332 0.9654  3 Tm 3.44-3.45, 9 Er 3.47-3.51
Er: 0.3668 0.0346 0.6994  3 Tm 3.44-3.45, 9 Er 3.47-3.51
Er: 0.6332 0.9654 0.3006  3 Tm 3.44-3.45, 9 Er 3.47-3.51
Er: 0.6994 0.3668 0.0346  3 Tm 3.44-3.45, 9 Er 3.47-3.51
Er: 0.9654 0.3006 0.6332  3 Tm 3.44-3.45, 9 Er 3.47-3.51
Tm: 0.0996 0.4331 0.7668  3 Er 3.44-3.45, 2 Ce 3.46-3.47, 6 Tm 3.51
Tm: 0.2332 0.9004 0.5669  3 Er 3.44-3.45, 2 Ce 3.46-3.47, 6 Tm 3.51
Tm: 0.4331 0.7668 0.0996  3 Er 3.44-3.45, 2 Ce 3.46-3.47, 6 Tm 3.51
Tm: 0.5669 0.2332 0.9004  3 Er 3.44-3.45, 2 Ce 3.46-3.47, 6 Tm 3.51
Tm: 0.7668 0.0996 0.4331  3 Er 3.44-3.45, 2 Ce 3.46-3.47, 6 Tm 3.51
Tm: 0.9004 0.5669 0.2332  3 Er 3.44-3.45, 2 Ce 3.46-3.47, 6 Tm 3.51

=====

Entry 3:
Computed, not measured: SrCoPb2 after structural relaxation at the PBE-GGA level of DFT.

Results
Formation enthalpy at 0 K in eV per atom: 0.1097

a = 3.4994 Å, b = 3.4994 Å, c = 8.1468 Å
α = 90.00°, β = 90.00°, γ = 90.36°
With the nearest neighbours (Å) after each atom.
Positions (direct):
Sr: 0.0000 0.0000 0.0000  4 Sr 3.50, 8 Pb 3.51-3.52
Co: 0.0000 0.0000 0.5000  8 Pb 2.93-2.94
Pb: 0.5000 0.5000 0.3066  4 Co 2.93-2.94, 1 Pb 3.15
Pb: 0.5000 0.5000 0.6934  4 Co 2.93-2.94, 1 Pb 3.15

=====

Entry 4:
Computed, not measured: Tb2PmYP4 after structural relaxation at the PBE-GGA level of DFT.

Results
Formation enthalpy at 0 K in eV per atom: -1.6005

a = 7.0149 Å, b = 4.0529 Å, c = 7.0161 Å
α = 90.00°, β = 109.46°, γ = 90.00°
With the nearest neighbours (Å) after each atom.
Positions (direct):
Tb: 0.0000 0.0000 0.0000  6 P 2.87
Tb: 0.5000 0.5000 0.0000  6 P 2.84
Pm: 0.0000 0.5000 0.5000  6 P 2.89
Y: 0.5000 0.0000 0.5000  6 P 2.86
P: 0.2525 0.5000 0.2484  3 Tb 2.84-2.87, 2 Y 2.86, 1 Pm 2.89
P: 0.2543 0.0000 0.7541  3 Tb 2.84-2.87, 1 Y 2.86, 2 Pm 2.89
P: 0.7457 0.0000 0.2459  3 Tb 2.84-2.87, 1 Y 2.86, 2 Pm 2.89
P: 0.7475 0.5000 0.7516  3 Tb 2.84-2.87, 2 Y 2.86, 1 Pm 2.89

=====

Entry 5:
Computed, not measured: LiHo3Th3S8 after structural relaxation at the PBE-GGA level of DFT.

Results
Formation energy from raw total energies in eV per atom: -1.895

a = 7.9275 Å, b = 7.9275 Å, c = 7.9275 Å
α = 59.15°, β = 59.15°, γ = 59.15°
With the nearest neighbours (Å) after each atom.
Positions (direct):
Li: 0.0000 0.0000 0.0000  6 S 2.72
Ho: 0.0000 0.5000 0.5000  6 S 2.72-2.74
Ho: 0.5000 0.0000 0.5000  6 S 2.72-2.74
Ho: 0.5000 0.5000 0.0000  6 S 2.72-2.74
Th: 0.0000 0.0000 0.5000  6 S 2.83-2.85
Th: 0.0000 0.5000 0.0000  6 S 2.83-2.85
Th: 0.5000 0.0000 0.0000  6 S 2.83-2.85
S: 0.2442 0.2442 0.7478  1 Li 2.72, 2 Ho 2.74, 2 Th 2.83
S: 0.2442 0.7478 0.2442  1 Li 2.72, 2 Ho 2.74, 2 Th 2.83
S: 0.2522 0.7558 0.7558  1 Li 2.72, 2 Ho 2.74, 2 Th 2.83
S: 0.2559 0.2559 0.2559  3 Ho 2.72, 3 Th 2.85
S: 0.7441 0.7441 0.7441  3 Ho 2.72, 3 Th 2.85
S: 0.7478 0.2442 0.2442  1 Li 2.72, 2 Ho 2.74, 2 Th 2.83
S: 0.7558 0.2522 0.7558  1 Li 2.72, 2 Ho 2.74, 2 Th 2.83
S: 0.7558 0.7558 0.2522  1 Li 2.72, 2 Ho 2.74, 2 Th 2.83

=====

Entry 6:
Computed, not measured: Cs2Ag4Cl after structural relaxation at the PBE-GGA level of DFT.

Results
Formation energy from raw total energies in eV per atom: 0.241

a = 11.8800 Å, b = 11.8800 Å, c = 11.8800 Å
α = 154.73°, β = 154.73°, γ = 36.03°
With the nearest neighbours (Å) after each atom.
Positions (direct):
Cs: 0.1660 0.1660 0.0000  5 Ag 3.67-3.84
Cs: 0.8340 0.8340 0.0000  5 Ag 3.67-3.84
Ag: 0.0000 0.5000 0.5000  2 Cl 2.60
Ag: 0.3358 0.3358 0.0000  5 Cs 3.67-3.84, 1 Cl 3.71
Ag: 0.5000 0.0000 0.5000  2 Cl 2.60
Ag: 0.6642 0.6642 0.0000  5 Cs 3.67-3.84, 1 Cl 3.71
Cl: 0.5000 0.5000 0.0000  4 Ag 2.60

=====

Entry 7:
Computed, not measured: Rb2BePbF6 after structural relaxation at the PBE-GGA level of DFT.

Results
Formation energy from raw total energies in eV per atom: -2.674

a = 6.0553 Å, b = 6.0553 Å, c = 6.0553 Å
α = 120.06°, β = 120.06°, γ = 89.90°
With the nearest neighbours (Å) after each atom.
Positions (direct):
Rb: 0.2500 0.7500 0.5000  12 F 3.04
Rb: 0.7500 0.2500 0.5000  12 F 3.04
Be: 0.0000 0.0000 0.0000  6 F 1.82-1.83
Pb: 0.5000 0.5000 0.0000  6 F 2.46
F: 0.2133 0.2133 0.0000  1 Be 1.83
F: 0.2128 0.2128 0.4257  1 Be 1.82
F: 0.2128 0.7872 0.0000  1 Be 1.82
F: 0.7872 0.2128 0.0000  1 Be 1.82
F: 0.7867 0.7867 0.0000  1 Be 1.83
F: 0.7872 0.7872 0.5743  1 Be 1.82

=====

Entry 8:
Computed, not measured: PrTl4I7 after structural relaxation at the PBE-GGA level of DFT.

Results
Formation energy from raw total energies in eV per atom: -0.855

a = 11.9776 Å, b = 11.9776 Å, c = 8.5537 Å
α = 106.62°, β = 106.62°, γ = 29.42°
With the nearest neighbours (Å) after each atom.
Positions (direct):
Pr: 0.0000 0.0000 0.0000  6 I 3.04-3.14
Tl: 0.3086 0.3086 0.7288  3 I 3.32-3.53
Tl: 0.4144 0.4144 0.3552  1 I 3.22
Tl: 0.5856 0.5856 0.6448  1 I 3.22
Tl: 0.6914 0.6914 0.2712  3 I 3.32-3.53
I: 0.0831 0.0831 0.3641  1 Pr 3.14
I: 0.1165 0.1165 0.8833  1 Pr 3.14
I: 0.2725 0.2725 0.3233  4 Tl 3.22-3.53
I: 0.5000 0.5000 0.0000  2 Pr 3.04
I: 0.7275 0.7275 0.6767  4 Tl 3.22-3.53
I: 0.8835 0.8835 0.1167  1 Pr 3.14
I: 0.9169 0.9169 0.6359  1 Pr 3.14

=====

Entry 9:
Computed, not measured: Ca6H2N3 after structural relaxation at the PBE-GGA level of DFT.

a = 6.2243 Å, b = 6.2243 Å, c = 6.2863 Å
α = 99.51°, β = 99.51°, γ = 119.99°
With the nearest neighbours (Å) after each atom.
Positions (direct):
Ca: 0.0656 0.4039 0.2118  3 N 2.40-2.44, 2 H 2.67-2.68
Ca: 0.2592 0.2592 0.7922  3 N 2.39-2.43
Ca: 0.4039 0.0656 0.2118  3 N 2.40-2.44, 2 H 2.67-2.68
Ca: 0.5961 0.9344 0.7882  3 N 2.40-2.44, 2 H 2.67-2.68
Ca: 0.7408 0.7408 0.2078  3 N 2.39-2.43
Ca: 0.9344 0.5961 0.7882  3 N 2.40-2.44, 2 H 2.67-2.68
H: 0.1672 0.8328 0.5000  6 Ca 2.67-2.70
H: 0.8328 0.1672 0.5000  6 Ca 2.67-2.70
N: 0.0000 0.0000 0.0000  6 Ca 2.39-2.44
N: 0.3333 0.6667 0.0000  6 Ca 2.40-2.44
N: 0.6667 0.3333 0.0000  6 Ca 2.40-2.44

=====

Entry 10:
Computed, not measured: CaDy2Tl after structural relaxation at the PBE-GGA level of DFT.

Results
Formation enthalpy at 0 K in eV per atom: -0.0360
Relative energy among the computed polymorphs in meV/atom: 103

a = 5.5104 Å, b = 5.5104 Å, c = 5.5104 Å
α = 60.00°, β = 60.00°, γ = 60.00°
With the nearest neighbours (Å) after each atom.
Positions (direct):
Ca: 0.0000 0.0000 0.0000  8 Dy 3.37
Dy: 0.2500 0.2500 0.2500  4 Tl 3.37, 4 Ca 3.37
Dy: 0.7500 0.7500 0.7500  4 Tl 3.37, 4 Ca 3.37
Tl: 0.5000 0.5000 0.5000  8 Dy 3.37

=====

Entry 11:
Computed, not measured: Tb5TlZn2 after structural relaxation at the PBE-GGA level of DFT.

Results
Formation enthalpy at 0 K in eV per atom: -0.2515

a = 9.2848 Å, b = 9.2848 Å, c = 9.2848 Å
α = 131.98°, β = 131.98°, γ = 70.27°
With the nearest neighbours (Å) after each atom.
Positions (direct):
Tb: 0.0000 0.0000 0.0000  4 Zn 3.00
Tb: 0.0198 0.5198 0.8327  3 Zn 3.13-3.18, 2 Tl 3.23
Tb: 0.1870 0.0198 0.5000  3 Zn 3.13-3.18, 2 Tl 3.23
Tb: 0.3130 0.8130 0.8327  3 Zn 3.13-3.18, 2 Tl 3.23
Tb: 0.4802 0.3130 0.5000  3 Zn 3.13-3.18, 2 Tl 3.23
Tb: 0.5000 0.5000 0.0000  4 Zn 3.00
Tb: 0.5198 0.6870 0.5000  3 Zn 3.13-3.18, 2 Tl 3.23
Tb: 0.6870 0.1870 0.1673  3 Zn 3.13-3.18, 2 Tl 3.23
Tb: 0.8130 0.9802 0.5000  3 Zn 3.13-3.18, 2 Tl 3.23
Tb: 0.9802 0.4802 0.1673  3 Zn 3.13-3.18, 2 Tl 3.23
Tl: 0.2500 0.2500 0.0000  8 Tb 3.23
Tl: 0.7500 0.7500 0.0000  8 Tb 3.23
Zn: 0.1217 0.3783 0.5000  1 Zn 2.60
Zn: 0.3783 0.8783 0.2566  1 Zn 2.60
Zn: 0.6217 0.1217 0.7434  1 Zn 2.60
Zn: 0.8783 0.6217 0.5000  1 Zn 2.60

=====

Entry 12:
Computed, not measured: CaCd2W after structural relaxation at the PBE-GGA level of DFT.

Results
Formation enthalpy at 0 K in eV per atom: 0.6049
Relative energy among the computed polymorphs in meV/atom: 193

a = 2.9862 Å, b = 4.6408 Å, c = 6.2204 Å
α = 90.00°, β = 90.00°, γ = 90.00°
With the nearest neighbours (Å) after each atom.
Positions (direct):
Ca: 0.0000 0.0000 0.0000  6 Cd 2.97-3.25, 2 Ca 2.99, 4 W 3.20
Cd: 0.0000 0.0000 0.5231  2 Ca 2.97-3.25, 6 Cd 2.99-3.21, 4 W 3.07
Cd: 0.5000 0.5000 0.2604  2 W 2.98-3.25, 6 Cd 2.99-3.21, 4 Ca 3.20
W: 0.5000 0.5000 0.7387  6 Cd 2.98-3.25, 2 W 2.99, 4 Ca 3.20

=====

Entry 13:
Computed, not measured: Zr2Cr2Sb after structural relaxation at the PBE-GGA level of DFT.

Results
Formation energy from raw total energies in eV per atom: -0.059

a = 6.8826 Å, b = 6.8826 Å, c = 3.9072 Å
α = 90.00°, β = 90.00°, γ = 90.00°
With the nearest neighbours (Å) after each atom.
Positions (direct):
Zr: 0.1830 0.3170 0.0000  6 Cr 2.83-2.86
Zr: 0.3170 0.8170 0.0000  6 Cr 2.83-2.86
Zr: 0.6830 0.1830 0.0000  6 Cr 2.83-2.86
Zr: 0.8170 0.6830 0.0000  6 Cr 2.83-2.86
Cr: 0.1028 0.6028 0.5000  1 Cr 2.00
Cr: 0.3972 0.1028 0.5000  1 Cr 2.00
Cr: 0.6028 0.8972 0.5000  1 Cr 2.00
Cr: 0.8972 0.3972 0.5000  1 Cr 2.00
Sb: 0.0000 0.0000 0.5000  4 Cr 2.82
Sb: 0.5000 0.5000 0.5000  4 Cr 2.82

=====

Entry 14:
Computed, not measured: Ba2Pr3S6 after structural relaxation at the PBE-GGA level of DFT.

Results
Formation energy from raw total energies in eV per atom: -2.044

a = 7.2778 Å, b = 7.2778 Å, c = 7.7204 Å
α = 98.99°, β = 98.99°, γ = 119.93°
With the nearest neighbours (Å) after each atom.
Positions (direct):
Ba: 0.1675 0.8325 0.0000  6 S 3.17-3.18
Ba: 0.8325 0.1675 0.0000  6 S 3.17-3.18
Pr: 0.0000 0.0000 0.5000  6 S 2.88-2.91
Pr: 0.3363 0.6637 0.5000  6 S 2.89-2.92
Pr: 0.6637 0.3363 0.5000  6 S 2.89-2.92
S: 0.0659 0.4049 0.7158  3 Pr 2.89-2.92, 2 Ba 3.18
S: 0.2549 0.2549 0.2803  3 Pr 2.88-2.90, 2 Ba 3.17
S: 0.4049 0.0659 0.7158  3 Pr 2.89-2.92, 2 Ba 3.18
S: 0.5951 0.9341 0.2842  3 Pr 2.89-2.92, 2 Ba 3.18
S: 0.7451 0.7451 0.7197  3 Pr 2.88-2.90, 2 Ba 3.17
S: 0.9341 0.5951 0.2842  3 Pr 2.89-2.92, 2 Ba 3.18

=====

Entry 15:
Computed, not measured: Tb2YGe2Rh5 after structural relaxation at the PBE-GGA level of DFT.

Results
Formation enthalpy at 0 K in eV per atom: -0.8499

a = 9.9843 Å, b = 9.9843 Å, c = 3.6778 Å
α = 90.00°, β = 90.00°, γ = 90.00°
With the nearest neighbours (Å) after each atom.
Positions (direct):
Tb: 0.1735 0.3265 0.0000  3 Ge 2.88-3.00, 6 Rh 3.06-3.18
Tb: 0.3265 0.8265 0.0000  3 Ge 2.88-3.00, 6 Rh 3.06-3.18
Tb: 0.6735 0.1735 0.0000  3 Ge 2.88-3.00, 6 Rh 3.06-3.18
Tb: 0.8265 0.6735 0.0000  3 Ge 2.88-3.00, 6 Rh 3.06-3.18
Y: 0.0000 0.0000 0.0000  8 Rh 2.93
Y: 0.5000 0.5000 0.0000  8 Rh 2.93
Ge: 0.1228 0.6228 0.0000  6 Rh 2.49-2.53
Ge: 0.3772 0.1228 0.0000  6 Rh 2.49-2.53
Ge: 0.6228 0.8772 0.0000  6 Rh 2.49-2.53
Ge: 0.8772 0.3772 0.0000  6 Rh 2.49-2.53
Rh: 0.0000 0.5000 0.5000  4 Ge 2.53
Rh: 0.0700 0.7824 0.5000  2 Ge 2.49
Rh: 0.2176 0.0700 0.5000  2 Ge 2.49
Rh: 0.2824 0.5700 0.5000  2 Ge 2.49
Rh: 0.4300 0.2824 0.5000  2 Ge 2.49
Rh: 0.5000 0.0000 0.5000  4 Ge 2.53
Rh: 0.5700 0.7176 0.5000  2 Ge 2.49
Rh: 0.7176 0.4300 0.5000  2 Ge 2.49
Rh: 0.7824 0.9300 0.5000  2 Ge 2.49
Rh: 0.9300 0.2176 0.5000  2 Ge 2.49

=====

Entry 16:
Computed, not measured: Zr3ReBi after structural relaxation at the PBE-GGA level of DFT.

Results
Formation enthalpy at 0 K in eV per atom: 0.3382
Relative energy among the computed polymorphs in meV/atom: 0

a = 5.1003 Å, b = 5.1003 Å, c = 5.1003 Å
α = 90.00°, β = 90.00°, γ = 90.00°
With the nearest neighbours (Å) after each atom.
Positions (direct):
Zr: 0.0000 0.0000 0.5000  2 Re 2.55
Zr: 0.0000 0.5000 0.0000  2 Re 2.55
Zr: 0.5000 0.0000 0.0000  2 Re 2.55
Re: 0.0000 0.0000 0.0000  6 Zr 2.55
Bi: 0.5000 0.5000 0.5000  12 Zr 3.61

=====

Entry 17:
Computed, not measured: CeGd2Mg after structural relaxation at the PBE-GGA level of DFT.

Results
Formation enthalpy at 0 K in eV per atom: 0.0559
Relative energy among the computed polymorphs in meV/atom: 55

a = 5.0097 Å, b = 5.0097 Å, c = 4.7781 Å
α = 90.00°, β = 90.00°, γ = 90.00°
With the nearest neighbours (Å) after each atom.
Positions (direct):
Ce: 0.0000 0.0000 0.0000  8 Gd 3.46, 4 Mg 3.54
Gd: 0.0000 0.5000 0.5000  4 Ce 3.46, 4 Mg 3.46, 4 Gd 3.54
Gd: 0.5000 0.0000 0.5000  4 Ce 3.46, 4 Mg 3.46, 4 Gd 3.54
Mg: 0.5000 0.5000 0.0000  8 Gd 3.46, 4 Ce 3.54

=====

Entry 18:
Computed, not measured: CaRh after structural relaxation at the PBE-GGA level of DFT.

Results
Formation enthalpy at 0 K in eV per atom: -0.0612

a = 3.3374 Å, b = 3.3374 Å, c = 4.2660 Å
α = 90.00°, β = 90.00°, γ = 120.00°
With the nearest neighbours (Å) after each atom.
Positions (direct):
Ca: 0.0000 0.0000 0.0000  6 Rh 2.87
Rh: 0.6667 0.3333 0.5000  6 Ca 2.87

=====

Entry 19:
Computed, not measured: Tc2HgBiMo after structural relaxation at the PBE-GGA level of DFT.

Results
Formation enthalpy at 0 K in eV per atom: 2.2267
Relative energy among the computed polymorphs in meV/atom: 10

a = 5.0510 Å, b = 5.0510 Å, c = 5.1990 Å
α = 90.00°, β = 90.00°, γ = 90.00°
With the nearest neighbours (Å) after each atom.
Positions (direct):
Tc: 0.0000 0.5000 0.0000  2 Bi 2.53
Tc: 0.5000 0.0000 0.0000  2 Bi 2.53
Hg: 0.0000 0.0000 0.5000  4 Mo 3.57, 8 Tc 3.62
Bi: 0.5000 0.5000 0.0000  4 Tc 2.53, 2 Mo 2.60
Mo: 0.5000 0.5000 0.5000  2 Bi 2.60

=====

Entry 20:
Computed, not measured: TmInRhAu after structural relaxation at the PBE-GGA level of DFT.

Results
Formation enthalpy at 0 K in eV per atom: -0.6470

a = 4.7923 Å, b = 4.7923 Å, c = 4.7923 Å
α = 60.00°, β = 60.00°, γ = 60.00°
With the nearest neighbours (Å) after each atom.
Positions (direct):
Tm: 0.0000 0.0000 0.0000  4 Au 2.93, 4 Rh 2.93
In: 0.5000 0.5000 0.5000  4 Au 2.93, 4 Rh 2.93
Rh: 0.2500 0.2500 0.2500  4 In 2.93, 4 Tm 2.93
Au: 0.7500 0.7500 0.7500  4 In 2.93, 4 Tm 2.93

=====

The following calculated density values (in g/cm3) correspond, in order, to the records above: 2.4 8.5 9.3 6.0 7.0 4.0 5.3 5.3 2.4 8.0 8.7 8.6 7.3 4.4 9.7 8.4 6.6 5.8 8.8 12.5.
The following total energy values (in eV per formula unit) correspond, in order, to the records above: -12.99 -31.80 -15.77 -54.92 -99.35 -13.27 -47.34 -35.36 -52.20 -13.72 -30.08 -14.37 -40.76 -65.43 -70.22 -40.28 -35.47 -9.48 -24.61 -20.43.